P) # V3NiRh6 PBE relaxed
# - DOS at the Fermi energy (states/eV per cell) = 18.5
# - spin magnetization (μB per atom) = 0.068
data_V3NiRh6
_symmetry_space_group_name_H-M 'P 1 21/m 1'
_symmetry_Int_Tables_number 11
_symmetry_space_group_name_Hall '-P 2yb'
_cell_length_a 7.197
_cell_length_b 4.287
_cell_length_c 9.386
_cell_angle_alpha 90.00
_cell_angle_beta 110.08
_cell_angle_gamma 90.00
loop_
_atom_site_label
_atom_site_type_symbol
_atom_site_fract_x
_atom_site_fract_y
_atom_site_fract_z
V1 V 0.088 0.250 0.236
V2 V 0.295 0.250 0.026
V3 V 0.318 0.750 0.374
Ni1 Ni 0.097 0.750 0.566
Rh1 Rh 0.084 0.250 0.722
Rh2 Rh 0.107 0.750 0.073
Rh3 Rh 0.287 0.250 0.527
Rh4 Rh 0.294 0.750 0.863
Rh5 Rh 0.494 0.250 0.329
Rh6 Rh 0.499 0.250 0.836



Q) # V3NiRh6 PBE relaxed
# - DOS at the Fermi energy (states/eV per cell) = 36.7
# - spin magnetization (μB per atom) = 0.000
data_V3NiRh6
_symmetry_space_group_name_H-M 'C m c 21'
_symmetry_Int_Tables_number 36
_symmetry_space_group_name_Hall 'C 2c -2'
_cell_length_a 8.093
_cell_length_b 14.676
_cell_length_c 4.719
_cell_angle_alpha 90.00
_cell_angle_beta 90.00
_cell_angle_gamma 90.00
loop_
_atom_site_label
_atom_site_type_symbol
_atom_site_fract_x
_atom_site_fract_y
_atom_site_fract_z
V1 V 0.000 0.111 0.000
V2 V 0.167 0.387 0.730
Ni1 Ni 0.000 0.279 0.976
Rh1 Rh 0.000 0.189 0.459
Rh2 Rh 0.000 0.445 0.242
Rh3 Rh 0.172 0.034 0.611
Rh4 Rh 0.239 0.302 0.307



Which one is the most stable? From the structures above, P).